This record from the Alexandria database describes crystalline RuSI2 at its relaxed geometry. The functional is PBE.

Unit cell a=6.7231 b=6.7231 c=6.7231 alpha=115.88 beta=115.88 gamma=97.30
With the nearest neighbours (Å) after each atom.
Atoms (fractional coordinates):
Ru: 0.0000 0.0000 0.0000  4 I 2.56
Ru: 0.7500 0.2500 0.5000  4 I 2.56
S: 0.2500 0.7500 0.5000  4 I 2.98
S: 0.5000 0.5000 0.0000  4 I 2.98
I: 0.0792 0.6250 0.9542  2 Ru 2.56
I: 0.3750 0.3292 0.4542  2 Ru 2.56
I: 0.6708 0.1250 0.0458  2 Ru 2.56
I: 0.8750 0.9208 0.5458  2 Ru 2.56

Properties
Energy above the lowest structure with this stoichiometry: 0 meV per atom
Symmetry: I-42d, No. 122
Formation energy without anion corrections: 0.709 eV/atom